Entry 1:
# MgAl2W, relaxed, DFT GGA-PBE
data_MgAl2W
_chemical_formula_sum 'Mg1 Al2 W1'
_cell_length_a 2.7913
_cell_length_b 2.7913
_cell_length_c 8.6920
_cell_angle_alpha 90.00
_cell_angle_beta 90.00
_cell_angle_gamma 90.00
_space_group_name_H-M_alt 'P 1'
_space_group_IT_number 1
_space_group_name_Hall 'P 1'
loop_
_atom_site_label
_atom_site_type_symbol
_atom_site_fract_x
_atom_site_fract_y
_atom_site_fract_z
Mg1 Mg 0.0000 0.0000 0.0000
Al1 Al 0.5000 0.5000 0.2667
Al2 Al 0.5000 0.5000 0.7333
W1 W 0.0000 0.0000 0.5000
# Calculated formation energy (eV per formula unit): 0.23
# Uncorrected energy (eV per atom): -5.450



Entry 2:
# KPmGeS4, relaxed, DFT GGA-PBE
data_KPmGeS4
_chemical_formula_sum 'K2 Pm2 Ge2 S8'
_cell_length_a 6.6226
_cell_length_b 6.7108
_cell_length_c 8.8361
_cell_angle_alpha 90.00
_cell_angle_beta 107.06
_cell_angle_gamma 90.00
_space_group_name_H-M_alt 'P 1'
_space_group_IT_number 1
_space_group_name_Hall 'P 1'
loop_
_atom_site_label
_atom_site_type_symbol
_atom_site_fract_x
_atom_site_fract_y
_atom_site_fract_z
K1 K 0.2337 0.2500 0.4354
K2 K 0.7663 0.7500 0.5646
Pm1 Pm 0.2723 0.2500 0.9473
Pm2 Pm 0.7277 0.7500 0.0527
Ge1 Ge 0.2748 0.7500 0.1764
Ge2 Ge 0.7252 0.2500 0.8236
S1 S 0.0742 0.7500 0.3355
S2 S 0.0771 0.7500 0.9249
S3 S 0.4994 0.5056 0.7862
S4 S 0.4994 0.9944 0.7862
S5 S 0.5006 0.0056 0.2138
S6 S 0.5006 0.4944 0.2138
S7 S 0.9229 0.2500 0.0751
S8 S 0.9258 0.2500 0.6645
# Energy relative to the elements, uncorrected (meV/atom): -1254
# Uncorrected energy (eV per atom): -5.107



Entry 3:
# VSb2TeI, relaxed, DFT GGA-PBE
data_VSb2TeI
_chemical_formula_sum 'V1 Sb2 Te1 I1'
_cell_length_a 5.3271
_cell_length_b 5.3271
_cell_length_c 5.0270
_cell_angle_alpha 90.00
_cell_angle_beta 90.00
_cell_angle_gamma 90.00
_space_group_name_H-M_alt 'P 1'
_space_group_IT_number 1
_space_group_name_Hall 'P 1'
loop_
_atom_site_label
_atom_site_type_symbol
_atom_site_fract_x
_atom_site_fract_y
_atom_site_fract_z
V1 V 0.0000 0.0000 0.0000
Sb1 Sb 0.0000 0.5000 0.0000
Sb2 Sb 0.5000 0.0000 0.0000
Te1 Te 0.5000 0.5000 0.5000
I1 I 0.0000 0.0000 0.5000
# Energy relative to the elements, uncorrected (meV/atom): 333
# Uncorrected energy (eV per atom): -4.078



Entry 4:
# MnRe2Rh, relaxed, DFT GGA-PBE
data_MnRe2Rh
_chemical_formula_sum 'Mn1 Re2 Rh1'
_cell_length_a 2.6983
_cell_length_b 2.6983
_cell_length_c 7.5283
_cell_angle_alpha 90.00
_cell_angle_beta 90.00
_cell_angle_gamma 90.00
_space_group_name_H-M_alt 'P 1'
_space_group_IT_number 1
_space_group_name_Hall 'P 1'
loop_
_atom_site_label
_atom_site_type_symbol
_atom_site_fract_x
_atom_site_fract_y
_atom_site_fract_z
Mn1 Mn 0.0000 0.0000 0.0000
Re1 Re 0.5000 0.5000 0.2329
Re2 Re 0.5000 0.5000 0.7671
Rh1 Rh 0.0000 0.0000 0.5000
# Calculated formation energy (eV per formula unit): -0.10
# Uncorrected energy (eV per atom): -10.380



Entry 5:
# La2ZnRh, relaxed, DFT GGA-PBE
data_La2ZnRh
_chemical_formula_sum 'La4 Zn2 Rh2'
_cell_length_a 3.6723
_cell_length_b 4.6270
_cell_length_c 11.6154
_cell_angle_alpha 90.00
_cell_angle_beta 90.00
_cell_angle_gamma 90.00
_space_group_name_H-M_alt 'P 1'
_space_group_IT_number 1
_space_group_name_Hall 'P 1'
loop_
_atom_site_label
_atom_site_type_symbol
_atom_site_fract_x
_atom_site_fract_y
_atom_site_fract_z
La1 La 0.0000 0.0000 0.0000
La2 La 0.0000 0.5000 0.2139
La3 La 0.5000 0.0000 0.7139
La4 La 0.5000 0.5000 0.5000
Zn1 Zn 0.0000 0.0000 0.4063
Zn2 Zn 0.5000 0.5000 0.9063
Rh1 Rh 0.0000 0.5000 0.7383
Rh2 Rh 0.5000 0.0000 0.2383
# Calculated formation energy (eV per formula unit): -1.71
# Uncorrected energy (eV per atom): -5.047



Entry 6:
# NaEuAs, relaxed, DFT GGA-PBE
data_NaEuAs
_chemical_formula_sum 'Na1 Eu1 As1'
_cell_length_a 4.7130
_cell_length_b 4.7130
_cell_length_c 4.4026
_cell_angle_alpha 90.00
_cell_angle_beta 90.00
_cell_angle_gamma 120.00
_space_group_name_H-M_alt 'P 1'
_space_group_IT_number 1
_space_group_name_Hall 'P 1'
loop_
_atom_site_label
_atom_site_type_symbol
_atom_site_fract_x
_atom_site_fract_y
_atom_site_fract_z
Na1 Na 0.0000 0.0000 0.0000
Eu1 Eu 0.3333 0.6667 0.4875
As1 As 0.6667 0.3333 0.8250
# Calculated formation energy (eV per formula unit): -1.90
# Uncorrected energy (eV per atom): -6.046



Entry 7:
# CaZrHg, relaxed, DFT GGA-PBE
data_CaZrHg
_chemical_formula_sum 'Ca2 Zr2 Hg2'
_cell_length_a 3.4070
_cell_length_b 3.4070
_cell_length_c 13.4834
_cell_angle_alpha 90.00
_cell_angle_beta 90.00
_cell_angle_gamma 90.00
_space_group_name_H-M_alt 'P 1'
_space_group_IT_number 1
_space_group_name_Hall 'P 1'
loop_
_atom_site_label
_atom_site_type_symbol
_atom_site_fract_x
_atom_site_fract_y
_atom_site_fract_z
Ca1 Ca 0.0000 0.0000 0.0000
Ca2 Ca 0.5000 0.5000 0.5000
Zr1 Zr 0.0000 0.0000 0.3048
Zr2 Zr 0.5000 0.5000 0.8048
Hg1 Hg 0.0000 0.0000 0.6671
Hg2 Hg 0.5000 0.5000 0.1671
# Calculated formation energy (eV per formula unit): -0.11
# Uncorrected energy (eV per atom): -3.654



Entry 8:
# NbTcI2O, relaxed, DFT GGA-PBE
data_NbTcI2O
_chemical_formula_sum 'Nb1 Tc1 I2 O1'
_cell_length_a 5.5632
_cell_length_b 5.5632
_cell_length_c 3.7213
_cell_angle_alpha 90.00
_cell_angle_beta 90.00
_cell_angle_gamma 90.00
_space_group_name_H-M_alt 'P 1'
_space_group_IT_number 1
_space_group_name_Hall 'P 1'
loop_
_atom_site_label
_atom_site_type_symbol
_atom_site_fract_x
_atom_site_fract_y
_atom_site_fract_z
Nb1 Nb 0.0000 0.0000 0.0000
Tc1 Tc 0.5000 0.5000 0.5000
I1 I 0.0000 0.5000 0.5000
I2 I 0.5000 0.0000 0.5000
O1 O 0.5000 0.5000 0.0000
# Energy relative to the elements, uncorrected (meV/atom): 278
# Uncorrected energy (eV per atom): -5.421



Entry 9:
# Y3ZnSn3, relaxed, DFT GGA-PBE
data_Y3ZnSn3
_chemical_formula_sum 'Y6 Zn2 Sn6'
_cell_length_a 6.1116
_cell_length_b 6.1116
_cell_length_c 14.9241
_cell_angle_alpha 106.87
_cell_angle_beta 106.87
_cell_angle_gamma 42.70
_space_group_name_H-M_alt 'P 1'
_space_group_IT_number 1
_space_group_name_Hall 'P 1'
loop_
_atom_site_label
_atom_site_type_symbol
_atom_site_fract_x
_atom_site_fract_y
_atom_site_fract_z
Y1 Y 0.0159 0.0159 0.3791
Y2 Y 0.1014 0.1014 0.9215
Y3 Y 0.2325 0.2325 0.2302
Y4 Y 0.7675 0.7675 0.7698
Y5 Y 0.8986 0.8986 0.0785
Y6 Y 0.9841 0.9841 0.6209
Zn1 Zn 0.2749 0.2749 0.6239
Zn2 Zn 0.7251 0.7251 0.3761
Sn1 Sn 0.3535 0.3535 0.4567
Sn2 Sn 0.3746 0.3746 0.9243
Sn3 Sn 0.4933 0.4933 0.7707
Sn4 Sn 0.5067 0.5067 0.2293
Sn5 Sn 0.6254 0.6254 0.0757
Sn6 Sn 0.6465 0.6465 0.5433
# Calculated formation energy (eV per formula unit): -4.67
# Uncorrected energy (eV per atom): -5.334



Entry 10:
# In4SbTe3, relaxed, DFT GGA-PBE
data_In4SbTe3
_chemical_formula_sum 'In8 Sb2 Te6'
_cell_length_a 6.1664
_cell_length_b 10.6580
_cell_length_c 8.9011
_cell_angle_alpha 90.00
_cell_angle_beta 90.00
_cell_angle_gamma 90.00
_space_group_name_H-M_alt 'P 1'
_space_group_IT_number 1
_space_group_name_Hall 'P 1'
loop_
_atom_site_label
_atom_site_type_symbol
_atom_site_fract_x
_atom_site_fract_y
_atom_site_fract_z
In1 In 0.2500 0.0072 0.1741
In2 In 0.2500 0.2500 0.6645
In3 In 0.2500 0.4928 0.1741
In4 In 0.2500 0.7500 0.6679
In5 In 0.7500 0.2500 0.3321
In6 In 0.7500 0.5072 0.8259
In7 In 0.7500 0.7500 0.3355
In8 In 0.7500 0.9928 0.8259
Sb1 Sb 0.2500 0.2500 0.3335
Sb2 Sb 0.7500 0.7500 0.6665
Te1 Te 0.2500 0.0059 0.8345
Te2 Te 0.2500 0.4941 0.8345
Te3 Te 0.2500 0.7500 0.3203
Te4 Te 0.7500 0.2500 0.6797
Te5 Te 0.7500 0.5059 0.1655
Te6 Te 0.7500 0.9941 0.1655
# Energy relative to the elements, uncorrected (meV/atom): -187
# Uncorrected energy (eV per atom): -3.249



Entry 11:
# PmSmTmTh, relaxed, DFT GGA-PBE
data_PmSmTmTh
_chemical_formula_sum 'Pm3 Sm3 Tm3 Th3'
_cell_length_a 3.6028
_cell_length_b 3.6028
_cell_length_c 34.7715
_cell_angle_alpha 90.00
_cell_angle_beta 90.00
_cell_angle_gamma 120.00
_space_group_name_H-M_alt 'P 1'
_space_group_IT_number 1
_space_group_name_Hall 'P 1'
loop_
_atom_site_label
_atom_site_type_symbol
_atom_site_fract_x
_atom_site_fract_y
_atom_site_fract_z
Pm1 Pm 0.0000 0.0000 0.0000
Pm2 Pm 0.3333 0.6667 0.6667
Pm3 Pm 0.6667 0.3333 0.3333
Sm1 Sm 0.0000 0.0000 0.2460
Sm2 Sm 0.3333 0.6667 0.9127
Sm3 Sm 0.6667 0.3333 0.5794
Tm1 Tm 0.0000 0.0000 0.4172
Tm2 Tm 0.3333 0.6667 0.0838
Tm3 Tm 0.6667 0.3333 0.7505
Th1 Th 0.0000 0.0000 0.8308
Th2 Th 0.3333 0.6667 0.4975
Th3 Th 0.6667 0.3333 0.1641
# Calculated formation energy (eV per formula unit): 0.07
# Uncorrected energy (eV per atom): -5.324



Entry 12:
# K2TmScO4, relaxed, DFT GGA-PBE
data_K2TmScO4
_chemical_formula_sum 'K2 Tm1 Sc1 O4'
_cell_length_a 5.7738
_cell_length_b 3.3392
_cell_length_c 6.4944
_cell_angle_alpha 90.00
_cell_angle_beta 107.25
_cell_angle_gamma 90.00
_space_group_name_H-M_alt 'P 1'
_space_group_IT_number 1
_space_group_name_Hall 'P 1'
loop_
_atom_site_label
_atom_site_type_symbol
_atom_site_fract_x
_atom_site_fract_y
_atom_site_fract_z
K1 K 0.0000 0.0000 0.0000
K2 K 0.5000 0.5000 0.0000
Tm1 Tm 0.0000 0.5000 0.5000
Sc1 Sc 0.5000 0.0000 0.5000
O1 O 0.2365 0.0000 0.6814
O2 O 0.2817 0.5000 0.3207
O3 O 0.7183 0.5000 0.6793
O4 O 0.7635 0.0000 0.3186
# Energy relative to the elements, uncorrected (meV/atom): -2776
# Uncorrected energy (eV per atom): -6.879